BaGa3Pb | PBE-GGA | relaxed

It has space group Pm-3m (No. 221), with a = 5.583 Å, b = 5.583 Å, c = 5.583 Å, α = 90.00°, β = 90.00° and γ = 90.00°. The asymmetric unit holds Ba at (0.000, 0.000, 0.000), Ga at (0.000, 0.500, 0.500) and Pb at (0.500, 0.500, 0.500).

The formation energy is 81 kJ/mol of formula units. Its offset from the most stable computed form is 0.0 meV/atom. Its total energy is -2.77 eV per atom. The volume comes out at 174 Å³/f.u.

***

HoEr2InC | PBE-GGA | relaxed

It has space group P4/mmm (No. 123), with a = 4.868 Å, b = 4.868 Å, c = 4.893 Å, α = 90.00°, β = 90.00° and γ = 90.00°. The asymmetric unit holds Ho at (0.000, 0.000, 0.000), Er at (0.000, 0.500, 0.500), In at (0.500, 0.500, 0.000) and C at (0.000, 0.000, 0.500).

The formation energy is -258 kJ/mol of formula units. Its total energy is -5.67 eV per atom. The volume comes out at 116 Å³/f.u.

***

Re3C5 | PBE-GGA | relaxed

It has space group P4/mmm (No. 123), with a = 2.772 Å, b = 2.772 Å, c = 9.418 Å, α = 90.00°, β = 90.00° and γ = 90.00°. The asymmetric unit holds Re at (0.000, 0.000, 0.000), Re at (0.500, 0.500, 0.347), C at (0.000, 0.000, 0.245), C at (0.000, 0.000, 0.500) and C at (0.500, 0.500, 0.118).

The formation energy is 1011 kJ/mol of formula units. Its offset from the most stable computed form is 365.6 meV/atom. Its total energy is -9.12 eV per atom. The volume comes out at 72 Å³/f.u.

***

TbEuIrPd | PBE-GGA | relaxed

It has space group F-43m (No. 216), with a = 7.023 Å, b = 7.023 Å, c = 7.023 Å, α = 90.00°, β = 90.00° and γ = 90.00°. The asymmetric unit holds Tb at (0.000, 0.000, 0.000), Eu at (0.000, 0.000, 0.500), Ir at (0.250, 0.250, 0.750) and Pd at (0.250, 0.250, 0.250).

The formation energy is -254 kJ/mol of formula units. Its total energy is -7.90 eV per atom. The volume comes out at 87 Å³/f.u.

***

ErThIrRu | PBE-GGA | relaxed

It has space group F-43m (No. 216), with a = 6.968 Å, b = 6.968 Å, c = 6.968 Å, α = 90.00°, β = 90.00° and γ = 90.00°. The asymmetric unit holds Er at (0.000, 0.000, 0.000), Th at (0.000, 0.000, 0.500), Ir at (0.250, 0.250, 0.750) and Ru at (0.250, 0.250, 0.250).

The formation energy is -243 kJ/mol of formula units. Its total energy is -8.16 eV per atom. The volume comes out at 85 Å³/f.u.

***

AlCuIrPt | PBE-GGA | relaxed

It has space group F-43m (No. 216), with a = 6.044 Å, b = 6.044 Å, c = 6.044 Å, α = 90.00°, β = 90.00° and γ = 90.00°. The asymmetric unit holds Al at (0.000, 0.000, 0.000), Cu at (0.000, 0.000, 0.500), Ir at (0.250, 0.250, 0.750) and Pt at (0.250, 0.250, 0.250).

The formation energy is -209 kJ/mol of formula units. Its total energy is -6.23 eV per atom. The volume comes out at 55 Å³/f.u.

***

Density of states at the Fermi level (computed, states/eV per cell): 3.566, 0.883, 3.744, 50.274, 10.323, 7.032